# Rb2NdAg2Se4

A relaxed structure of Rb2NdAg2Se4 (PBE, the Alexandria database).

Geometry as POSCAR:
```
Rb2NdAg2Se4
1.0
-0.251 -2.608 -3.378
3.795 -6.028 4.373
-7.719 0.682 2.752
Rb Nd Ag Se
2 1 2 4
Direct
0.131 0.562 0.261
0.869 0.438 0.739
0.000 0.000 0.000
0.679 0.985 0.358
0.321 0.015 0.642
0.199 0.189 0.398
0.801 0.811 0.602
0.515 0.762 0.029
0.485 0.238 0.971
```

Properties
volume: 29.8 Å³ per atom
space group: No. 12
E_tot: -3.937 eV/atom

=====

# CaGeBr2

A relaxed structure of CaGeBr2 (PBE, the Alexandria database).

Geometry as POSCAR:
```
CaGeBr2
1.0
8.123 0.000 0.000
0.000 8.123 0.000
4.061 4.061 3.472
Ge Ca Br
2 2 4
Direct
0.000 0.000 0.000
0.750 0.250 0.500
0.500 0.500 0.000
0.250 0.750 0.500
0.617 0.125 0.250
0.133 0.625 0.250
0.375 0.383 0.750
0.875 0.867 0.750
```

Properties
volume: 28.6 Å³ per atom
space group: No. 122
E_tot: -3.215 eV/atom
relative energy among the computed polymorphs: 0.5199 eV/atom